(1)
## Li7Cd3Hg2 (GGA-PBE)

Data for Li7Cd3Hg2 after structural relaxation.

The structure in CIF format:
```
data_Li7Cd3Hg2
_cell_length_a 4.612
_cell_length_b 22.586
_cell_length_c 4.575
_cell_angle_alpha 90.00
_cell_angle_beta 90.00
_cell_angle_gamma 90.00
_space_group_name_H-M_alt 'C m m m'
_space_group_IT_number 65
_space_group_name_Hall '-C 2 2'
loop_
_atom_site_label
_atom_site_fract_x
_atom_site_fract_y
_atom_site_fract_z
Li1 0.000 0.000 0.000
Li2 0.000 0.078 0.500
Li3 0.000 0.278 0.000
Li4 0.000 0.421 0.000
Cd1 0.000 0.347 0.500
Cd2 0.000 0.500 0.500
Hg1 0.000 0.152 0.000
```

## Properties
E above lowest polymorph ... 12 meV/atom
Energy of formation ... -15.91 kJ per mole of atoms

(2)
## PbW4 (GGA-PBE)

Data for PbW4 after structural relaxation.

The structure in CIF format:
```
data_PbW4
_cell_length_a 4.869
_cell_length_b 4.869
_cell_length_c 4.869
_cell_angle_alpha 90.00
_cell_angle_beta 90.00
_cell_angle_gamma 90.00
_space_group_name_H-M_alt 'P m -3 m'
_space_group_IT_number 221
_space_group_name_Hall '-P 4 2 3'
loop_
_atom_site_label
_atom_site_fract_x
_atom_site_fract_y
_atom_site_fract_z
Pb1 0.000 0.000 0.000
W1 0.000 0.000 0.500
W2 0.500 0.500 0.500
```

## Properties
E above lowest polymorph ... 2643 meV/atom
Energy of formation ... 339.91 kJ per mole of atoms

(3)
## Y2TlFe (GGA-PBE)

Data for Y2TlFe after structural relaxation.

The structure in CIF format:
```
data_Y2TlFe
_cell_length_a 3.5872
_cell_length_b 3.5872
_cell_length_c 28.0771
_cell_angle_alpha 90.00
_cell_angle_beta 90.00
_cell_angle_gamma 120.00
_space_group_name_H-M_alt 'R 3 m'
_space_group_IT_number 160
_space_group_name_Hall 'R 3 -2"'
loop_
_atom_site_label
_atom_site_fract_x
_atom_site_fract_y
_atom_site_fract_z
Y1 0.0000 0.0000 0.0000
Y2 0.0000 0.0000 0.2263
Tl1 0.0000 0.0000 0.4685
Fe1 0.0000 0.0000 0.7375
```

## Properties
Energy of formation ... 26.21 kJ per mole of atoms

(4)
## Ac3TbSb4 (GGA-PBE)

Data for Ac3TbSb4 after structural relaxation.

The structure in CIF format:
```
data_Ac3TbSb4
_cell_length_a 9.411
_cell_length_b 13.300
_cell_length_c 4.710
_cell_angle_alpha 90.00
_cell_angle_beta 90.00
_cell_angle_gamma 90.00
_space_group_name_H-M_alt 'C m m m'
_space_group_IT_number 65
_space_group_name_Hall '-C 2 2'
loop_
_atom_site_label
_atom_site_fract_x
_atom_site_fract_y
_atom_site_fract_z
Ac1 0.000 0.000 0.000
Ac2 0.250 0.250 0.500
Tb1 0.000 0.500 0.000
Sb1 0.000 0.258 0.000
Sb2 0.236 0.500 0.500
```

## Properties
Uncorrected formation energy ... -1.170 eV/atom

Respective ρ values: 5484; 13556; 6974; 7475 kg/m3.
Respective magnetization values: 0.0; 0.0; 2.6; 0.0 μB/f.u..